The following is a PBE-GGA calculation of a relaxed structure of Nd6Sm3Y2Th, from Alexandria via LeMat-Bulk.

Results
crystal system	monoclinic
DFT formation energy	0.03	eV/atom

Unit cell a=6.311 b=10.916 c=12.095 alpha=90.00 beta=100.04 gamma=90.00
Space group C2/m (No. 12)
One atom of each set of equivalent atoms:
Nd1 0.246 0.000 0.252
Nd2 0.248 0.165 0.748
Sm1 0.000 0.167 0.000
Sm2 0.000 0.500 0.000
Y1 0.000 0.333 0.500
Th1 0.000 0.000 0.500